VASP calculation (PBE) on a geometry-optimized CsRbW3 structure.

Properties
Energy relative to the elements = 4295.0 meV/atom
Calculated density = 9.7 Mg/m³
Polymorph energy (0 for the lowest one) = 1.58 eV per formula unit

Cell and atoms, written as CIF:
```
data_CsRbW3
_cell_length_a 5.091
_cell_length_b 5.091
_cell_length_c 5.091
_cell_angle_alpha 90.00
_cell_angle_beta 90.00
_cell_angle_gamma 90.00
_symmetry_space_group_name_H-M 'P m -3 m'
_symmetry_Int_Tables_number 221
_symmetry_space_group_name_Hall '-P 4 2 3'
loop_
_atom_site_label
_atom_site_type_symbol
_atom_site_fract_x
_atom_site_fract_y
_atom_site_fract_z
Cs1 Cs 0.000 0.000 0.000
Rb1 Rb 0.500 0.500 0.500
W1 W 0.000 0.500 0.500
```

VASP calculation (PBE) on a geometry-optimized CoTe3As structure.

Properties
E_form (uncorrected) = 1.0401 eV per atom
Calculated density = 5.5 Mg/m³
Polymorph energy (0 for the lowest one) = 2.69 eV per formula unit

Cell and atoms, written as CIF:
```
data_CoTe3As
_cell_length_a 5.385
_cell_length_b 5.385
_cell_length_c 5.385
_cell_angle_alpha 90.00
_cell_angle_beta 90.00
_cell_angle_gamma 90.00
_symmetry_space_group_name_H-M 'P m -3 m'
_symmetry_Int_Tables_number 221
_symmetry_space_group_name_Hall '-P 4 2 3'
loop_
_atom_site_label
_atom_site_type_symbol
_atom_site_fract_x
_atom_site_fract_y
_atom_site_fract_z
Co1 Co 0.000 0.000 0.000
Te1 Te 0.000 0.500 0.500
As1 As 0.500 0.500 0.500
```

VASP calculation (PBE) on a geometry-optimized GaHgN3 structure.

Properties
E_form (uncorrected) = 1.7366 eV per atom
Calculated density = 8.1 Mg/m³

Cell and atoms, written as CIF:
```
data_GaHgN3
_cell_length_a 3.995
_cell_length_b 3.995
_cell_length_c 3.995
_cell_angle_alpha 90.00
_cell_angle_beta 90.00
_cell_angle_gamma 90.00
_symmetry_space_group_name_H-M 'P m -3 m'
_symmetry_Int_Tables_number 221
_symmetry_space_group_name_Hall '-P 4 2 3'
loop_
_atom_site_label
_atom_site_type_symbol
_atom_site_fract_x
_atom_site_fract_y
_atom_site_fract_z
Ga1 Ga 0.000 0.000 0.000
Hg1 Hg 0.500 0.500 0.500
N1 N 0.000 0.000 0.500
```

VASP calculation (PBE) on a geometry-optimized NaLi4P2 structure.

Properties
Energy relative to the elements = -458.4 meV/atom
Calculated density = 1.6 Mg/m³
Polymorph energy (0 for the lowest one) = 0.34 eV per formula unit

Cell and atoms, written as CIF:
```
data_NaLi4P2
_cell_length_a 7.433
_cell_length_b 7.433
_cell_length_c 4.238
_cell_angle_alpha 90.00
_cell_angle_beta 90.00
_cell_angle_gamma 90.00
_symmetry_space_group_name_H-M 'P 42/m n m'
_symmetry_Int_Tables_number 136
_symmetry_space_group_name_Hall '-P 4n 2n'
loop_
_atom_site_label
_atom_site_type_symbol
_atom_site_fract_x
_atom_site_fract_y
_atom_site_fract_z
Na1 Na 0.000 0.000 0.000
Li1 Li 0.101 0.337 0.500
P1 P 0.228 0.772 0.500
```

In eV per atom, the calculated total energy values for the records above are, in order, -3.84 -3.20 -3.92 -3.29.